1.
{
  "formula": "GdHfHg2",
  "functional": "PBE",
  "state": "relaxed",
  "polymorph_energy_mev_per_atom": 0,
  "magmom_total_mub_per_cell": 7.467,
  "crystal_system": "tetragonal",
  "delta_e_f_kj_per_mol_atoms": -19.8,
  "lattice": [[-0.3226, 3.3186, -0.0483], [-3.0935, -0.3183, -1.2036], [-3.0266, -0.1803, 7.8266]],
  "species": ["Gd", "Hf", "Hg", "Hg"],
  "frac_coords": [[0.5000, 0.5000, 0.5000], [0.5000, 0.5000, 0.0000], [0.0000, 0.0000, 0.7672], [0.0000, 0.0000, 0.2328]]
}


2.
{
  "formula": "GdHfHg2",
  "functional": "PBE",
  "state": "relaxed",
  "polymorph_energy_mev_per_atom": 33,
  "magmom_total_mub_per_cell": 8.139,
  "crystal_system": "cubic",
  "delta_e_f_kj_per_mol_atoms": -16.7,
  "lattice": [[-0.9047, 4.9753, -0.8439], [-3.1358, 1.4273, -3.7966], [-4.5990, 1.9892, 1.0848]],
  "species": ["Hg", "Hf", "Hg", "Gd"],
  "frac_coords": [[0.7500, 0.7500, 0.7500], [0.0000, 0.0000, 0.0000], [0.2500, 0.2500, 0.2500], [0.5000, 0.5000, 0.5000]]
}


3.
{
  "formula": "GdHfHgPb",
  "functional": "PBE",
  "state": "relaxed",
  "magmom_total_mub_per_cell": 6.887,
  "crystal_system": "cubic",
  "delta_e_f_kj_per_mol_atoms": -10.3,
  "lattice": [[5.2028, 0.0000, 0.0000], [2.6014, 4.5058, 0.0000], [2.6014, 1.5019, 4.2481]],
  "species": ["Gd", "Pb", "Hg", "Hf"],
  "frac_coords": [[0.7500, 0.7500, 0.7500], [0.0000, 0.0000, 0.0000], [0.5000, 0.5000, 0.5000], [0.2500, 0.2500, 0.2500]]
}


4.
{
  "formula": "GdHfTlHg",
  "functional": "PBE",
  "state": "relaxed",
  "magmom_total_mub_per_cell": 7.260,
  "crystal_system": "cubic",
  "delta_e_f_kj_per_mol_atoms": -9.4,
  "lattice": [[5.1654, 0.0000, 0.0000], [2.5827, 4.4734, 0.0000], [2.5827, 1.4911, 4.2176]],
  "species": ["Hf", "Gd", "Hg", "Tl"],
  "frac_coords": [[0.7500, 0.7500, 0.7500], [0.2500, 0.2500, 0.2500], [0.5000, 0.5000, 0.5000], [0.0000, 0.0000, 0.0000]]
}


5.
{
  "formula": "GdHoHf",
  "functional": "PBE",
  "state": "relaxed",
  "polymorph_energy_mev_per_atom": 15,
  "magmom_total_mub_per_cell": 7.309,
  "crystal_system": "trigonal",
  "delta_e_f_kj_per_mol_atoms": 13.0,
  "lattice": [[3.3838, 0.0000, 0.0000], [-1.6919, 2.9304, 0.0000], [0.0000, 0.0000, 8.4383]],
  "species": ["Gd", "Ho", "Hf"],
  "frac_coords": [[0.3333, 0.6667, 0.6458], [0.0000, 0.0000, 0.0223], [0.6667, 0.3333, 0.3319]]
}


6.
{
  "formula": "GdHoHf",
  "functional": "PBE",
  "state": "relaxed",
  "polymorph_energy_mev_per_atom": 0,
  "magmom_total_mub_per_cell": 7.450,
  "crystal_system": "tetragonal",
  "delta_e_f_kj_per_mol_atoms": 11.6,
  "lattice": [[3.3622, 0.0000, 0.0000], [0.0000, 3.3622, 0.0000], [-1.6811, -1.6811, 7.4459]],
  "species": ["Hf", "Ho", "Gd"],
  "frac_coords": [[0.6686, 0.6686, 0.3373], [0.3199, 0.3199, 0.6398], [0.0115, 0.0115, 0.0230]]
}


Number 1: electronic total energy -6.365 eV per atom. Number 2: electronic total energy -6.333 eV per atom. Number 3: electronic total energy -7.118 eV per atom. Number 4: electronic total energy -6.773 eV per atom. Number 5: electronic total energy -9.402 eV per atom. Number 6: electronic total energy -9.417 eV per atom.